[1]
## SrTaCu (GGA-PBE)

Data for a relaxed SrTaCu crystal.

Output
- ΔH_f (0 K): 1.01 eV per atom
- Energy above the lowest structure with this stoichiometry: 758 meV/atom
- Space group: P4/nmm

abc: 4.066 4.066 7.746
angles: 90.00 90.00 90.00
Sites, in units of the cell vectors:
Sr1 0.000 0.000 0.500
Sr2 0.500 0.500 0.500
Cu1 0.000 0.500 0.792
Cu2 0.500 0.000 0.208
Ta1 0.000 0.500 0.097
Ta2 0.500 0.000 0.903

***

[2]
## Sr2TaCu (GGA-PBE)

Data for a relaxed Sr2TaCu crystal.

Output
- ΔH_f (0 K): 1.10 eV per atom
- Energy above the lowest structure with this stoichiometry: 596 meV/atom
- Space group: I-42d

abc: 8.715 8.715 6.886
angles: 50.74 50.74 90.00
Each line ends with the local moment (μB).
Sites, in units of the cell vectors:
Sr1 0.573 0.125 0.250  0.08
Sr2 0.177 0.625 0.250  0.08
Sr3 0.375 0.427 0.750  0.08
Sr4 0.875 0.823 0.750  0.08
Cu1 0.500 0.500 0.000  0.05
Cu2 0.250 0.750 0.500  0.05
Ta1 0.000 0.000 0.000  1.62
Ta2 0.750 0.250 0.500  1.61

***

[3]
## SrTaCu2 (GGA-PBE)

Data for a relaxed SrTaCu2 crystal.

Output
- ΔH_f (0 K): 0.47 eV per atom
- Energy above the lowest structure with this stoichiometry: 202 meV/atom
- Space group: P4mm

abc: 3.182 3.182 7.663
angles: 90.00 90.00 90.00
Each line ends with the local moment (μB).
Sites, in units of the cell vectors:
Cu1 0.000 0.000 0.025  0.01
Cu2 0.500 0.500 0.176  0.01
Sr1 0.000 0.000 0.474  0.03
Ta1 0.500 0.500 0.825  0.18

***

[4]
## SrTaCu (GGA-PBE)

Data for a relaxed SrTaCu crystal.

Output
- ΔH_f (0 K): 0.26 eV per atom
- Energy above the lowest structure with this stoichiometry: 0 meV/atom
- Space group: P2_1/m

abc: 3.435 12.528 3.437
angles: 106.06 90.00 90.01
Sites, in units of the cell vectors:
Sr1 0.184 0.783 0.481
Sr2 0.684 0.485 0.689
Cu1 0.685 0.965 0.165
Cu2 0.185 0.302 0.006
Ta1 0.185 0.071 0.772
Ta2 0.685 0.197 0.399

***

- Which formula does entry 2 have?
  Sr2TaCu

***

- Look up the energy above the lowest structure with this stoichiometry of the fourth one.
  0 meV/atom

***

- Among the records above, which one has the lowest energy above the lowest structure with this stoichiometry?
  number 4

***

What did the fourth record say?
## SrTaCu (GGA-PBE)

Data for a relaxed SrTaCu crystal.

Output
- ΔH_f (0 K): 0.26 eV per atom
- Energy above the lowest structure with this stoichiometry: 0 meV/atom
- Space group: P2_1/m

abc: 3.435 12.528 3.437
angles: 106.06 90.00 90.01
Sites, in units of the cell vectors:
Sr1 0.184 0.783 0.481
Sr2 0.684 0.485 0.689
Cu1 0.685 0.965 0.165
Cu2 0.185 0.302 0.006
Ta1 0.185 0.071 0.772
Ta2 0.685 0.197 0.399